Record 1
VASP calculation (GGA-PBE) on an optimized crystal structure of ZnSnBr.

abc: 3.6358 5.0098 10.4015
angles: 89.76 81.89 87.05
With the nearest neighbours (Å) after each atom.
Space group P-1 (No. 2)
One atom of each set of equivalent atoms:
Zn  0.1082  0.2582  0.3079 x2  2 Br 2.47, 1 Sn 2.74
Sn  0.1726  0.2383  0.5676 x2  3 Zn 2.74-2.96
Br  0.3258  0.7467  0.8546 x2  2 Zn 2.47

Record 2
VASP calculation (GGA-PBE) on an optimized crystal structure of ZnSn2Br6.

ΔE to the lowest computed polymorph (eV per atom): 0.053

abc: 6.8461 6.8461 12.8377
angles: 90.00 90.00 90.00
With the nearest neighbours (Å) after each atom.
Space group P4_2/mnm (No. 136)
One atom of each set of equivalent atoms:
Zn  0.0000  0.0000  0.0000 x2  6 Br 2.64-2.73
Sn  0.0000  0.0000  0.3347 x4  6 Br 2.99-3.03
Br  0.1873  0.1873  0.1496 x8  1 Zn 2.64
Br  0.2177  0.2177  0.5000 x4  1 Zn 2.73, 2 Sn 2.99

Record 3
VASP calculation (GGA-PBE) on an optimized crystal structure of ZnSn2Br6.

ΔE to the lowest computed polymorph (eV per atom): 0.000

abc: 13.1719 18.3256 6.1831
angles: 90.00 117.31 90.00
With the nearest neighbours (Å) after each atom.
Space group C2/c (No. 15)
One atom of each set of equivalent atoms:
Zn  0.0000  0.1800  0.2500 x4  4 Br 2.44-2.46
Sn  0.1489  0.4007  0.1691 x8  3 Br 2.80-2.82
Br  0.1100  0.0971  0.5913 x8  1 Zn 2.46
Br  0.1288  0.2473  0.1387 x8  1 Zn 2.44
Br  0.1296  0.4165  0.5990 x8  1 Sn 2.80

What are the E values for these records? In order: -2.618, -2.869, -2.922 eV/atom.